# Rb2Ac2CrO6, optimized geometry, DFT PBE with a Hubbard U
data_Rb2Ac2CrO6
_chemical_formula_sum 'Rb4 Ac4 Cr2 O12'
_space_group_name_H-M_alt 'C 1 2/m 1'
_space_group_IT_number 12
_space_group_name_Hall '-C 2y'
_cell_length_a 6.269
_cell_length_b 10.588
_cell_length_c 6.878
_cell_angle_alpha 90.00
_cell_angle_beta 102.99
_cell_angle_gamma 90.00
loop_
_atom_site_label
_atom_site_type_symbol
_atom_site_fract_x
_atom_site_fract_y
_atom_site_fract_z
Rb1 Rb 0.000 0.156 0.000
Ac1 Ac 0.000 0.336 0.500
Cr1 Cr 0.000 0.000 0.500
O1 O 0.183 0.144 0.660
O2 O 0.215 0.000 0.331
# - total DFT energy (no corrections) (eV/atom) = -6.504
# - size of the total moment (μB/atom) = 0.181